one.
{"formula": "RbNa2GaHg", "functional": "GGA-PBE", "state": "optimized geometry", "lattice_angstrom": [[5.8548, 0.0000, 0.0000], [0.0000, 5.8548, 0.0000], [0.0000, 0.0000, 5.4303]], "species": ["Rb", "Na", "Na", "Ga", "Hg"], "fractional_positions": [[0.0000, 0.0000, 0.0000], [0.0000, 0.5000, 0.5000], [0.5000, 0.0000, 0.5000], [0.5000, 0.5000, 0.5000], [0.5000, 0.5000, 0.0000]]}

two.
{"formula": "RbNa2GaHg", "functional": "GGA-PBE", "state": "optimized geometry", "lattice_angstrom": [[5.9291, 0.0000, 0.0000], [0.0000, 5.9291, 0.0000], [0.0000, 0.0000, 5.3423]], "species": ["Rb", "Na", "Na", "Ga", "Hg"], "fractional_positions": [[0.0000, 0.0000, 0.0000], [0.0000, 0.5000, 0.5000], [0.5000, 0.0000, 0.5000], [0.5000, 0.5000, 0.0000], [0.5000, 0.5000, 0.5000]]}

one is preferred energetically. Next in line: 25 meV/atom higher.

one.
{"formula": "NaGaHgSb", "functional": "GGA-PBE", "state": "optimized geometry", "lattice_angstrom": [[4.3800, 0.0000, 0.0000], [-2.1900, 3.7932, 0.0000], [0.0000, 0.0000, 6.8275]], "species": ["Na", "Ga", "Hg", "Sb"], "fractional_positions": [[0.0000, 0.0000, 0.0000], [0.3333, 0.6667, 0.2597], [0.3333, 0.6667, 0.7351], [0.6667, 0.3333, 0.4198]]}

two.
{"formula": "NaGaHgSb", "functional": "GGA-PBE", "state": "optimized geometry", "lattice_angstrom": [[7.3818, 0.0000, 0.0000], [0.0000, 7.3818, 0.0000], [0.0000, 0.0000, 7.3818]], "species": ["Na", "Na", "Na", "Na", "Ga", "Ga", "Ga", "Ga", "Hg", "Hg", "Hg", "Hg", "Sb", "Sb", "Sb", "Sb"], "fractional_positions": [[0.0000, 0.0000, 0.0000], [0.0000, 0.5000, 0.5000], [0.5000, 0.0000, 0.5000], [0.5000, 0.5000, 0.0000], [0.2500, 0.2500, 0.7500], [0.2500, 0.7500, 0.2500], [0.7500, 0.2500, 0.2500], [0.7500, 0.7500, 0.7500], [0.2500, 0.2500, 0.2500], [0.2500, 0.7500, 0.7500], [0.7500, 0.2500, 0.7500], [0.7500, 0.7500, 0.2500], [0.0000, 0.0000, 0.5000], [0.0000, 0.5000, 0.0000], [0.5000, 0.0000, 0.0000], [0.5000, 0.5000, 0.5000]]}

one is preferred energetically. Next in line: 48 meV/atom higher.

one.
{"formula": "Nd5Ga2Hg", "functional": "GGA-PBE", "state": "optimized geometry", "lattice_angstrom": [[-3.9039, 3.9039, 7.6661], [3.9039, -3.9039, 7.6661], [3.9039, 3.9039, -7.6661]], "species": ["Nd", "Nd", "Nd", "Nd", "Nd", "Nd", "Nd", "Nd", "Nd", "Nd", "Ga", "Ga", "Ga", "Ga", "Hg", "Hg"], "fractional_positions": [[0.0000, 0.0000, 0.0000], [0.0265, 0.5265, 0.8437], [0.1827, 0.0265, 0.5000], [0.3173, 0.8173, 0.8437], [0.4735, 0.3173, 0.5000], [0.5000, 0.5000, 0.0000], [0.5265, 0.6827, 0.5000], [0.6827, 0.1827, 0.1563], [0.8173, 0.9735, 0.5000], [0.9735, 0.4735, 0.1563], [0.1181, 0.3819, 0.5000], [0.3819, 0.8819, 0.2637], [0.6181, 0.1181, 0.7363], [0.8819, 0.6181, 0.5000], [0.2500, 0.2500, 0.0000], [0.7500, 0.7500, 0.0000]]}

two.
{"formula": "Nd5Ga2Hg", "functional": "GGA-PBE", "state": "optimized geometry", "lattice_angstrom": [[7.0632, 0.0000, 0.0000], [0.0000, 7.0632, 0.0000], [0.0000, 0.0000, 8.8666]], "species": ["Nd", "Nd", "Nd", "Nd", "Nd", "Nd", "Nd", "Nd", "Nd", "Nd", "Ga", "Ga", "Ga", "Ga", "Hg", "Hg"], "fractional_positions": [[0.0000, 0.0000, 0.0000], [0.2500, 0.2500, 0.2500], [0.2500, 0.2500, 0.7500], [0.2500, 0.7500, 0.2500], [0.2500, 0.7500, 0.7500], [0.5000, 0.5000, 0.5000], [0.7500, 0.2500, 0.2500], [0.7500, 0.2500, 0.7500], [0.7500, 0.7500, 0.2500], [0.7500, 0.7500, 0.7500], [0.0000, 0.5000, 0.0000], [0.0000, 0.5000, 0.5000], [0.5000, 0.0000, 0.0000], [0.5000, 0.0000, 0.5000], [0.0000, 0.0000, 0.5000], [0.5000, 0.5000, 0.0000]]}

one is preferred energetically. Next in line: 99 meV/atom higher.